No. 1
The following is a DFT calculation (GGA-PBE) of SrMgZn2Ge2 after structural relaxation.

Calculated values
Electronic total energy, eV for the cell shown: -17.0
Formation energy from the elements, eV per atom: -0.33

Cell lengths 4.3753, 4.3753, 7.6509 Å; angles 90.00, 90.00, 120.00 degrees
Last column: nearest neighbours and their distance in Å.
Space group P-3m1 (No. 164)
Symmetry-distinct sites (fractional):
Sr 0.0000 0.0000 0.0000 x1  6 Ge 3.27, 6 Zn 3.52
Mg 0.0000 0.0000 0.5000 x1  6 Zn 2.87, 6 Ge 3.07
Zn 0.3333 0.6667 0.6789 x2  3 Ge 2.55
Ge 0.3333 0.6667 0.2710 x2  3 Zn 2.55

---

No. 2
The following is a DFT calculation (GGA-PBE) of NaTlInF6 after structural relaxation.

Calculated values
Electronic total energy, eV for the cell shown: -76.4
Raw formation energy, eV per atom: -2.28

Cell lengths 6.0285, 6.0285, 9.3284 Å; angles 90.00, 90.00, 120.00 degrees
Last column: nearest neighbours and their distance in Å.
Space group P-31c (No. 163)
Symmetry-distinct sites (fractional):
Na 0.0000 0.0000 0.0000 x2  6 F 2.42
Tl 0.3333 0.6667 0.2500 x2  6 F 2.42
In 0.3333 0.6667 0.7500 x2  6 F 2.12
F 0.0376 0.3657 0.6290 x12  1 In 2.12

---

No. 3
The following is a DFT calculation (GGA-PBE) of LiHfO after structural relaxation.

Calculated values
Electronic total energy, eV for the cell shown: -43.7
Raw formation energy, eV per atom: -1.68

Cell lengths 3.1281, 3.1385, 9.0346 Å; angles 90.00, 90.00, 90.00 degrees
Last column: nearest neighbours and their distance in Å.
Space group Pmm2 (No. 25)
Symmetry-distinct sites (fractional):
Li 0.0000 0.0000 0.0000 x1  1 O 1.96
Li 0.5000 0.5000 0.2331 x1  2 O 1.94
Hf 0.0000 0.0000 0.5143 x1  2 O 2.10
Hf 0.5000 0.5000 0.7582 x1  4 O 2.23
O 0.0000 0.0000 0.7827 x1  1 Li 1.96
O 0.5000 0.0000 0.3588 x1  2 Li 1.94, 2 Hf 2.10

---

No. 4
The following is a DFT calculation (GGA-PBE) of ThTiCu2 after structural relaxation.

Calculated values
Electronic total energy, eV for the cell shown: -23.6
Formation energy from the elements, eV per atom: -0.02

Cell lengths 3.2577, 3.2577, 6.9590 Å; angles 90.00, 90.00, 90.00 degrees
Last column: nearest neighbours and their distance in Å.
Space group P4/mmm (No. 123)
Symmetry-distinct sites (fractional):
Th 0.0000 0.0000 0.0000 x1  8 Cu 3.16, 4 Th 3.26, 2 Ti 3.48
Ti 0.0000 0.0000 0.5000 x1  8 Cu 2.65
Cu 0.5000 0.5000 0.3106 x2  1 Cu 2.64, 4 Ti 2.65

---

Which of these has the highest electronic total energy?
SrMgZn2Ge2

---

Look up the electronic total energy of the second one.
-76.4 eV for the cell shown

---

What is the formula in the first record?
SrMgZn2Ge2